[1]
A relaxed structure of Mg2PRu. Source: Alexandria, functional PBE.

Summary:
ΔH_f (0 K)	-278	meV per atom
theoretical density	4516	kg/m³
size of the total moment	0.00	μB/f.u.

Unit cell a=10.074 b=3.161 c=4.541 alpha=90.00 beta=113.28 gamma=90.00
Space group Cm (No. 8)
Inequivalent atoms, fractional coordinates:
Mg: 0.000 0.000 0.000 [2 per cell]
Mg: 0.209 0.000 0.692 [2 per cell]
P: 0.449 0.000 0.449 [2 per cell]
Ru: 0.271 0.500 0.250 [2 per cell]


[2]
A relaxed structure of K2ScZnRu. Source: Alexandria, functional PBE.

Summary:
ΔH_f (0 K)	1141	meV per atom
theoretical density	3047	kg/m³
size of the total moment	0.00	μB/f.u.

Unit cell a=5.658 b=5.658 c=4.931 alpha=90.00 beta=90.00 gamma=90.00
Space group P4/mmm (No. 123)
Inequivalent atoms, fractional coordinates:
K: 0.000 0.500 0.000 [2 per cell]
Sc: 0.000 0.000 0.500 [1 per cell]
Zn: 0.500 0.500 0.000 [1 per cell]
Ru: 0.500 0.500 0.500 [1 per cell]


[3]
A relaxed structure of K3ZrCd. Source: Alexandria, functional PBE.

Summary:
polymorph energy (0 for the lowest one)	0.0	meV/atom
ΔH_f (0 K)	975	meV per atom
theoretical density	1935	kg/m³
size of the total moment	3.48	μB/f.u.

Unit cell a=6.507 b=6.507 c=6.507 alpha=90.00 beta=90.00 gamma=90.00
Space group Pm-3m (No. 221)
Inequivalent atoms, fractional coordinates:
K: 0.000 0.000 0.500 [3 per cell]
Zr: 0.500 0.500 0.500 [1 per cell]
Cd: 0.000 0.000 0.000 [1 per cell]


[4]
A relaxed structure of Hf2AgS. Source: Alexandria, functional PBE.

Summary:
theoretical density	10076	kg/m³
size of the total moment	0.00	μB/f.u.
ΔE_f (raw)	-183	meV/atom

Unit cell a=3.1675 b=3.1675 c=28.2756 alpha=90.00 beta=90.00 gamma=120.00
Space group R-3m (No. 166, hexagonal axes)
Inequivalent atoms, fractional coordinates:
Hf: 0.0000 0.0000 0.1010 [6 per cell]
Ag: 0.0000 0.0000 0.0000 [3 per cell]
S: 0.0000 0.0000 0.5000 [3 per cell]


The lowest theoretical density belongs to which entry?
K3ZrCd


The highest size of the total moment belongs to which entry?
K3ZrCd